Record 1
Below is a relaxed structure of Zr2BeCd, with properties calculated at the PBE level.

Geometry as POSCAR:
```
Zr2BeCd
1.0
2.922 -4.053 0.000
2.922 4.053 0.000
-0.009 0.000 3.242
Zr Be Cd
2 1 1
Direct
0.000 0.500 0.000 Zr
0.500 0.000 0.000 Zr
0.000 0.000 0.500 Be
0.500 0.500 0.500 Cd
```

The calculation puts the energy of formation at 0.0617 eV/atom. The calculation puts the energy above the most stable polymorph in this dataset at 149 meV/atom. The total magnetization is 0.00 μB/cell. The calculation puts the total energy at -21.49 eV/f.u. As for the space group: No. 12. The density of states at the Fermi level comes out at 3.15 states/eV per cell.

=====

Record 2
Below is a relaxed structure of ZrBeCd2, with properties calculated at the PBE level.

Geometry as POSCAR:
```
ZrBeCd2
1.0
4.015 0.000 0.000
0.000 4.139 0.000
0.000 0.000 4.528
Zr Be Cd
1 1 2
Direct
0.000 0.000 0.000 Zr
0.500 0.500 0.000 Be
0.000 0.500 0.500 Cd
0.500 0.000 0.500 Cd
```

The calculation puts the energy of formation at 0.0953 eV/atom. The total magnetization is 0.00 μB/cell. The calculation puts the total energy at -13.72 eV/f.u. As for the space group: No. 47. The density of states at the Fermi level comes out at 2.31 states/eV per cell.

=====

Record 3
Below is a relaxed structure of Zr2Be2Cd, with properties calculated at the PBE level.

Geometry as POSCAR:
```
Zr2Be2Cd
1.0
6.580 0.000 0.000
0.000 6.580 0.000
0.000 0.000 3.852
Zr Be Cd
4 4 2
Direct
0.168 0.332 0.000 Zr
0.332 0.832 0.000 Zr
0.668 0.168 0.000 Zr
0.832 0.668 0.000 Zr
0.120 0.620 0.500 Be
0.380 0.120 0.500 Be
0.620 0.880 0.500 Be
0.880 0.380 0.500 Be
0.000 0.000 0.500 Cd
0.500 0.500 0.500 Cd
```

The calculation puts the energy of formation at -0.1712 eV/atom. The calculation puts the energy above the most stable polymorph in this dataset at 10 meV/atom. The total magnetization is 0.00 μB/cell. The calculation puts the total energy at -26.32 eV/f.u. As for the space group: No. 127. The density of states at the Fermi level comes out at 3.34 states/eV per cell.

=====

Record 4
Below is a relaxed structure of Zr2BeCd, with properties calculated at the PBE level.

Geometry as POSCAR:
```
Zr2BeCd
1.0
3.166 0.000 0.000
0.000 3.970 0.000
0.000 0.000 6.253
Zr Be Cd
2 1 1
Direct
0.000 0.000 0.000 Zr
0.500 0.500 0.268 Zr
0.000 0.000 0.476 Be
0.500 0.500 0.729 Cd
```

The calculation puts the energy of formation at 0.1663 eV/atom. The calculation puts the energy above the most stable polymorph in this dataset at 253 meV/atom. The total magnetization is 0.00 μB/cell. The calculation puts the total energy at -21.07 eV/f.u. As for the space group: No. 25. The density of states at the Fermi level comes out at 2.32 states/eV per cell.

=====

Record 5
Below is a relaxed structure of Zr2BeCd, with properties calculated at the PBE level.

Geometry as POSCAR:
```
Zr2BeCd
1.0
3.079 0.000 0.000
0.000 3.079 0.000
0.000 0.000 8.021
Zr Be Cd
2 1 1
Direct
0.000 0.000 0.000 Zr
0.500 0.500 0.293 Zr
0.000 0.000 0.514 Be
0.500 0.500 0.706 Cd
```

The calculation puts the energy of formation at 0.0270 eV/atom. The calculation puts the energy above the most stable polymorph in this dataset at 114 meV/atom. The total magnetization is 0.00 μB/cell. The calculation puts the total energy at -21.63 eV/f.u. As for the space group: No. 99. The density of states at the Fermi level comes out at 3.71 states/eV per cell.

=====

Record 6
Below is a relaxed structure of ZrBeCd4, with properties calculated at the PBE level.

Geometry as POSCAR:
```
ZrBeCd4
1.0
0.000 3.985 3.985
3.985 0.000 3.985
3.985 3.985 0.000
Zr Be Cd
1 1 4
Direct
0.000 0.000 0.000 Zr
0.750 0.750 0.750 Be
0.375 0.375 0.375 Cd
0.375 0.375 0.876 Cd
0.375 0.876 0.375 Cd
0.876 0.375 0.375 Cd
```

The calculation puts the energy of formation at 0.4829 eV/atom. The total magnetization is 0.36 μB/cell. The calculation puts the total energy at -13.04 eV/f.u. As for the space group: No. 216. The density of states at the Fermi level comes out at 4.04 states/eV per cell.

=====

Record 7
Below is a relaxed structure of ZrBeCd2, with properties calculated at the PBE level.

Geometry as POSCAR:
```
ZrBeCd2
1.0
2.890 -5.095 0.000
2.890 5.095 0.000
-1.038 0.000 2.610
Zr Be Cd
1 1 2
Direct
0.000 0.000 0.000 Zr
0.500 0.500 0.000 Be
0.000 0.500 0.500 Cd
0.500 0.000 0.500 Cd
```

The calculation puts the energy of formation at 0.2488 eV/atom. The total magnetization is 0.00 μB/cell. The calculation puts the total energy at -13.11 eV/f.u. As for the space group: No. 12. The density of states at the Fermi level comes out at 2.50 states/eV per cell.

=====

Record 8
Below is a relaxed structure of Zr2BeCd, with properties calculated at the PBE level.

Geometry as POSCAR:
```
Zr2BeCd
1.0
2.997 0.000 0.000
0.000 2.997 0.000
0.000 0.000 8.357
Zr Be Cd
2 1 1
Direct
0.000 0.000 0.204 Zr
0.000 0.000 0.796 Zr
0.500 0.500 0.000 Be
0.500 0.500 0.500 Cd
```

The calculation puts the energy of formation at -0.0869 eV/atom. The calculation puts the energy above the most stable polymorph in this dataset at 0 meV/atom. The total magnetization is 0.00 μB/cell. The calculation puts the total energy at -22.09 eV/f.u. As for the space group: No. 123. The density of states at the Fermi level comes out at 3.35 states/eV per cell.